First-principles (GGA-PBE) data for a relaxed structure of NaLi2HgSb, as listed in Alexandria via LeMat-Bulk.

## Properties
The calculation puts the uncorrected formation energy at -304 meV per atom.

abc: 5.2679 5.2679 5.9473
angles: 90.00 90.00 90.00
Element x y z (fractional)
1 Hg 0.5000 0.5000 0.5000
2 Li 0.0000 0.5000 0.0000
3 Li 0.5000 0.0000 0.0000
4 Sb 0.0000 0.0000 0.0000
5 Na 0.0000 0.0000 0.5000

***

First-principles (GGA-PBE) data for a relaxed structure of ReC2, as listed in Alexandria via LeMat-Bulk.

## Properties
The calculation puts the formation enthalpy at 0 K at 1521 meV per atom.

abc: 4.9909 4.9909 4.9909
angles: 90.00 90.00 90.00
Site moments in Bohr magnetons follow the coordinates.
Element x y z (fractional)
1 C 0.4172 0.0828 0.0828  -0.03
2 C 0.4172 0.4172 0.5828  -0.03
3 C 0.0828 0.5828 0.0828  -0.03
4 C 0.9172 0.0828 0.4172  -0.03
5 C 0.5828 0.5828 0.4172  -0.03
6 C 0.5828 0.9172 0.9172  -0.03
7 C 0.9172 0.4172 0.9172  -0.03
8 C 0.0828 0.9172 0.5828  -0.03
9 Re 0.5000 0.5000 0.0000  0.93
10 Re 0.5000 0.0000 0.5000  0.93
11 Re 0.0000 0.0000 0.0000  0.93
12 Re 0.0000 0.5000 0.5000  0.93

***

First-principles (GGA-PBE) data for a relaxed structure of MnCoSnHg2, as listed in Alexandria via LeMat-Bulk.

## Properties
The calculation puts the formation enthalpy at 0 K at 557 meV per atom.

abc: 5.0038 4.5899 5.0038
angles: 90.00 90.00 90.00
Site moments in Bohr magnetons follow the coordinates.
Element x y z (fractional)
1 Hg 0.5000 0.0000 0.0000  -0.02
2 Hg 0.0000 0.0000 0.5000  -0.02
3 Co 0.0000 0.0000 0.0000  1.13
4 Sn 0.5000 0.5000 0.5000  -0.01
5 Mn 0.0000 0.5000 0.0000  3.91

***

First-principles (GGA-PBE) data for a relaxed structure of Fe8Ag, as listed in Alexandria via LeMat-Bulk.

## Properties
The calculation puts the formation enthalpy at 0 K at 166 meV per atom.

abc: 6.3287 6.3287 6.3287
angles: 93.15 93.15 152.88
Site moments in Bohr magnetons follow the coordinates.
Element x y z (fractional)
1 Fe 0.3364 0.0000 0.3364  2.55
2 Fe 0.6760 0.3240 0.0000  2.57
3 Fe 0.3240 0.6760 0.0000  2.57
4 Fe 0.0000 0.6636 0.6636  2.55
5 Fe 0.3240 0.3240 0.6481  2.57
6 Fe 0.6760 0.6760 0.3519  2.57
7 Fe 0.0000 0.3364 0.3364  2.55
8 Fe 0.6636 0.0000 0.6636  2.55
9 Ag 0.0000 0.0000 0.0000  0.07

***

First-principles (GGA-PBE) data for a relaxed structure of Er4SbPd2, as listed in Alexandria via LeMat-Bulk.

## Properties
The calculation puts the uncorrected formation energy at -689 meV per atom.

abc: 8.3517 7.5157 7.8195
angles: 106.83 110.75 112.03
Element x y z (fractional)
1 Er 0.2669 0.1381 0.7790
2 Er 0.9602 0.2525 0.3499
3 Er 0.3857 0.0854 0.3385
4 Er 0.5135 0.6516 0.7825
5 Er 0.8583 0.5789 0.6425
6 Er 0.7876 0.0720 0.6506
7 Er 0.8447 0.7014 0.2256
8 Er 0.3846 0.5214 0.2336
9 Sb 0.0037 0.0051 0.0083
10 Sb 0.2458 0.7471 0.4923
11 Pd 0.6362 0.3394 0.7982
12 Pd 0.1676 0.4725 0.8118
13 Pd 0.5838 0.8845 0.1974
14 Pd 0.6115 0.3002 0.1898

***

First-principles (GGA-PBE) data for a relaxed structure of BaScCu, as listed in Alexandria via LeMat-Bulk.

## Properties
The calculation puts the formation enthalpy at 0 K at 221 meV per atom.

abc: 4.5145 4.5145 5.4200
angles: 90.00 90.00 120.00
Site moments in Bohr magnetons follow the coordinates.
Element x y z (fractional)
1 Sc 0.3333 0.6667 0.5011  0.07
2 Cu 0.6667 0.3333 0.4979  0.00
3 Ba 0.0000 0.0000 0.0010  0.02

***

First-principles (GGA-PBE) data for a relaxed structure of RhIN2O, as listed in Alexandria via LeMat-Bulk.

## Properties
The calculation puts the uncorrected formation energy at 1136 meV per atom.

abc: 3.9682 3.9682 4.0160
angles: 90.00 90.00 90.00
Element x y z (fractional)
1 N 0.5000 0.0000 0.0000
2 N 0.0000 0.5000 0.0000
3 I 0.5000 0.5000 0.5000
4 Rh 0.0000 0.0000 0.0000
5 O 0.0000 0.0000 0.5000

***

First-principles (GGA-PBE) data for a relaxed structure of Cd2IrBr, as listed in Alexandria via LeMat-Bulk.

## Properties
The calculation puts the uncorrected formation energy at 477 meV per atom.

abc: 5.4551 5.4551 5.4551
angles: 134.88 134.88 65.71
Element x y z (fractional)
1 Ir 0.5000 0.5000 0.0000
2 Cd 0.0000 0.0000 0.0000
3 Cd 0.2500 0.7500 0.5000
4 Br 0.7500 0.2500 0.5000

***

First-principles (GGA-PBE) data for a relaxed structure of LiIrPt2F, as listed in Alexandria via LeMat-Bulk.

## Properties
The calculation puts the uncorrected formation energy at 658 meV per atom.

abc: 4.7530 4.7530 5.1770
angles: 90.00 90.00 90.00
Element x y z (fractional)
1 F 0.5000 0.5000 0.5000
2 Li 0.0000 0.0000 0.5000
3 Ir 0.0000 0.0000 0.0000
4 Pt 0.0000 0.5000 0.0000
5 Pt 0.5000 0.0000 0.0000

***

First-principles (GGA-PBE) data for a relaxed structure of MnBiPd2, as listed in Alexandria via LeMat-Bulk.

## Properties
The calculation puts the formation enthalpy at 0 K at -110 meV per atom.

abc: 3.8299 4.3581 4.3581
angles: 90.00 90.00 90.00
Site moments in Bohr magnetons follow the coordinates.
Element x y z (fractional)
1 Pd 0.0000 0.5000 0.0000  0.11
2 Pd 0.0000 0.0000 0.5000  0.11
3 Mn 0.5000 0.0000 0.0000  4.05
4 Bi 0.5000 0.5000 0.5000  -0.07

***

First-principles (GGA-PBE) data for a relaxed structure of SrGe3Mo, as listed in Alexandria via LeMat-Bulk.

## Properties
The calculation puts the formation enthalpy at 0 K at 2136 meV per atom.

abc: 5.2534 5.2534 5.2534
angles: 90.00 90.00 90.00
Element x y z (fractional)
1 Ge 0.5000 0.0000 0.0000
2 Ge 0.0000 0.0000 0.5000
3 Ge 0.0000 0.5000 0.0000
4 Mo 0.5000 0.5000 0.5000
5 Sr 0.0000 0.0000 0.0000

***

First-principles (GGA-PBE) data for a relaxed structure of PmPr2Ir, as listed in Alexandria via LeMat-Bulk.

## Properties
The calculation puts the formation enthalpy at 0 K at -435 meV per atom.

abc: 6.5491 7.4037 9.9858
angles: 90.00 90.00 90.00
Element x y z (fractional)
1 Pr 0.6718 0.8241 0.9336
2 Pr 0.1718 0.6759 0.4336
3 Pr 0.1718 0.6759 0.0664
4 Pr 0.8282 0.3241 0.9336
5 Pr 0.8282 0.3241 0.5664
6 Pr 0.3282 0.1759 0.4336
7 Pr 0.3282 0.1759 0.0664
8 Pr 0.6718 0.8241 0.5664
9 Ir 0.0562 0.3790 0.2500
10 Ir 0.4438 0.8790 0.2500
11 Ir 0.9438 0.6210 0.7500
12 Ir 0.5562 0.1210 0.7500
13 Pm 0.8522 0.0369 0.2500
14 Pm 0.3522 0.4631 0.7500
15 Pm 0.1478 0.9631 0.7500
16 Pm 0.6478 0.5369 0.2500

***

Which formula does entry 4 have? Fe8Ag